[1]
A relaxed structure of NbCoIr2Pt, computed with GGA-PBE.

It has space group P4/mmm (No. 123), with a = 4.7214 Å, b = 4.7214 Å, c = 4.3733 Å, α = 90.00°, β = 90.00° and γ = 90.00°. The inequivalent atoms are Nb at (0.0000, 0.0000, 0.0000), Co at (0.0000, 0.0000, 0.5000), Ir at (0.0000, 0.5000, 0.0000) and Pt at (0.5000, 0.5000, 0.5000).

For the total energy, the calculation gives -32.97 eV per formula unit. The energy of formation is 7.97 eV per formula unit.

=====

[2]
A relaxed structure of CoTeP2, computed with GGA-PBE.

It has space group P2/m (No. 10), with a = 4.5586 Å, b = 3.3547 Å, c = 4.8532 Å, α = 90.00°, β = 114.68° and γ = 90.00°. The inequivalent atoms are Co at (0.0000, 0.0000, 0.0000), Te at (0.5000, 0.0000, 0.5000) and P at (0.2369, 0.5000, 0.8469).

For the total energy, the calculation gives -21.01 eV per formula unit. The raw formation energy is 0.0152 eV per atom.

=====

[3]
A relaxed structure of Li2TcBr, computed with GGA-PBE.

It has space group C2/m (No. 12), with a = 10.1571 Å, b = 3.0017 Å, c = 4.5949 Å, α = 90.00°, β = 116.73° and γ = 90.00°. The inequivalent atoms are Li at (0.2288, 0.0000, 0.2293), Tc at (0.0000, 0.0000, 0.5000) and Br at (0.0000, 0.5000, 0.0000).

For the total energy, the calculation gives -14.63 eV per formula unit. The energy above the most stable polymorph in this dataset comes out at 0.2302 eV per atom. The raw formation energy is 0.3091 eV per atom.

=====

[4]
A relaxed structure of Al3GaFe3, computed with GGA-PBE.

It has space group R-3m (No. 166, hexagonal axes), with a = 8.0641 Å, b = 8.0641 Å, c = 4.9471 Å, α = 90.00°, β = 90.00° and γ = 120.00°. The inequivalent atoms are Al at (0.0000, 0.5000, 0.0000), Ga at (0.0000, 0.0000, 0.0000) and Fe at (0.0000, 0.5000, 0.5000).

For the total energy, the calculation gives -41.11 eV per formula unit. The energy of formation is -1.46 eV per formula unit.

=====

Total magnetic moment in μB per cell, matching the order above: 0.75; 0.00; 0.97; 4.20